1.
Density functional theory data (PBE-GGA) for an optimized crystal structure of CsBeAg.

Cell lengths 5.3769, 5.3769, 5.3769 Å; angles 60.00, 60.00, 60.00 degrees
Atoms (fractional coordinates):
Ag  0.0000  0.0000  0.0000
Cs  0.7500  0.7500  0.7500
Be  0.2500  0.2500  0.2500

Output
VASP energy	-0.1077	Ry/atom
relative energy among the computed polymorphs	32	meV per atom

***

2.
Density functional theory data (PBE-GGA) for an optimized crystal structure of LiBePd2.

Cell lengths 4.3252, 4.3252, 7.1385 Å; angles 90.00, 90.00, 120.00 degrees
Atoms (fractional coordinates):
Pd  0.3333  0.6667  0.5714
Pd  0.3333  0.6667  0.9286
Pd  0.6667  0.3333  0.4286
Pd  0.6667  0.3333  0.0714
Li  0.0000  0.0000  0.0000
Li  0.0000  0.0000  0.5000
Be  0.6667  0.3333  0.7500
Be  0.3333  0.6667  0.2500

Output
VASP energy	-0.3085	Ry/atom

***

3.
Density functional theory data (PBE-GGA) for an optimized crystal structure of CdP2O6.

Cell lengths 7.4769, 7.4769, 10.0495 Å; angles 99.30, 109.41, 109.64 degrees
Atoms (fractional coordinates):
O  0.2860  0.2839  0.8373
O  0.9942  0.8029  0.0686
O  0.6249  0.2836  0.4155
O  0.2343  0.9256  0.4314
O  0.9465  0.4487  0.6627
O  0.4779  0.8820  0.1894
O  0.0535  0.5513  0.3373
O  0.6319  0.7906  0.9155
O  0.5496  0.6500  0.3379
O  0.8074  0.7115  0.6894
O  0.0058  0.1971  0.9314
O  0.3176  0.5231  0.0560
O  0.6824  0.4769  0.9440
O  0.4504  0.3500  0.6621
O  0.7657  0.0744  0.5686
O  0.7140  0.7161  0.1627
O  0.8121  0.2117  0.1621
O  0.3751  0.7164  0.5845
O  0.9670  0.2615  0.4440
O  0.1879  0.7883  0.8379
O  0.3681  0.2094  0.0845
O  0.0330  0.7385  0.5560
O  0.1926  0.2885  0.3106
O  0.5221  0.1180  0.8106
Cd  0.5000  0.0000  0.0000
Cd  0.5000  0.5000  0.5000
Cd  0.7152  0.9652  0.7500
Cd  0.2848  0.0348  0.2500
P  0.4863  0.3044  0.8033
P  0.8057  0.2538  0.5182
P  0.1943  0.7462  0.4818
P  0.7645  0.7125  0.0182
P  0.0012  0.6831  0.6967
P  0.2355  0.2875  0.9818
P  0.9988  0.3169  0.3033
P  0.5137  0.6956  0.1967

Output
VASP energy	-0.4827	Ry/atom

***

4.
Density functional theory data (PBE-GGA) for an optimized crystal structure of Nd2I.

Cell lengths 6.6876, 6.6876, 6.6876 Å; angles 60.00, 60.00, 60.00 degrees
Site moments in Bohr magnetons follow the coordinates.
Atoms (fractional coordinates):
Nd  0.6250  0.6250  0.6250  0.22
Nd  0.6250  0.6250  0.1250  0.21
Nd  0.1250  0.6250  0.6250  0.20
Nd  0.6250  0.1250  0.6250  0.22
I  0.2500  0.2500  0.2500  0.00
I  0.0000  0.0000  0.0000  0.00

Output
VASP energy	-0.2665	Ry/atom
relative energy among the computed polymorphs	616	meV per atom

***

5.
Density functional theory data (PBE-GGA) for an optimized crystal structure of Rb3Hg4Pd4.

Cell lengths 7.3919, 7.3919, 7.3919 Å; angles 109.47, 109.47, 109.47 degrees
Atoms (fractional coordinates):
Pd  0.2312  0.2312  0.2312
Pd  0.7688  0.0000  0.0000
Pd  0.0000  0.7688  0.0000
Pd  0.0000  0.0000  0.7688
Hg  0.4005  0.0000  0.0000
Hg  0.0000  0.0000  0.4005
Hg  0.0000  0.4005  0.0000
Hg  0.5995  0.5995  0.5995
Rb  0.5000  0.0000  0.5000
Rb  0.5000  0.5000  0.0000
Rb  0.0000  0.5000  0.5000

Output
VASP energy	-0.1845	Ry/atom

***

6.
Density functional theory data (PBE-GGA) for an optimized crystal structure of PaAgB.

Cell lengths 4.5417, 4.5417, 4.5417 Å; angles 60.00, 60.00, 60.00 degrees
Atoms (fractional coordinates):
B  0.7500  0.7500  0.7500
Pa  0.0000  0.0000  0.0000
Ag  0.2500  0.2500  0.2500

Output
VASP energy	-0.3834	Ry/atom
relative energy among the computed polymorphs	811	meV per atom

***

7.
Density functional theory data (PBE-GGA) for an optimized crystal structure of LuTlO3.

Cell lengths 5.6489, 5.7716, 8.2949 Å; angles 90.00, 90.00, 90.00 degrees
Atoms (fractional coordinates):
O  0.6269  0.0844  0.7500
O  0.1763  0.1805  0.9291
O  0.1269  0.4156  0.2500
O  0.6763  0.3195  0.4291
O  0.3237  0.6805  0.9291
O  0.1763  0.1805  0.5709
O  0.3237  0.6805  0.5709
O  0.8731  0.5844  0.7500
O  0.3731  0.9156  0.2500
O  0.6763  0.3195  0.0709
O  0.8237  0.8195  0.4291
O  0.8237  0.8195  0.0709
Tl  0.0148  0.9490  0.7500
Tl  0.4852  0.4490  0.7500
Tl  0.9852  0.0510  0.2500
Tl  0.5148  0.5510  0.2500
Lu  0.0000  0.5000  0.5000
Lu  0.5000  0.0000  0.5000
Lu  0.0000  0.5000  0.0000
Lu  0.5000  0.0000  0.0000

Output
VASP energy	-0.4746	Ry/atom

***

8.
Density functional theory data (PBE-GGA) for an optimized crystal structure of MgAg.

Cell lengths 5.1177, 6.0102, 4.8137 Å; angles 90.00, 90.00, 90.00 degrees
Atoms (fractional coordinates):
Mg  0.3393  0.5000  0.5000
Mg  0.4998  0.7629  0.0000
Mg  0.4998  0.2371  0.0000
Mg  0.9898  0.5000  0.0000
Ag  0.0000  0.0000  0.0000
Ag  0.8345  0.2526  0.5000
Ag  0.8345  0.7474  0.5000
Ag  0.3357  0.0000  0.5000

Output
VASP energy	-0.1699	Ry/atom